A plane-wave DFT calculation with PBE was carried out for a relaxed structure of KBeSN2.

a b c (Å): 4.112 4.112 4.411
angles (deg): 90.00 90.00 90.00
Each line ends with the local moment (μB).
Positions (direct):
Be 0.000 0.000 0.000  -0.02
K 0.500 0.500 0.500  0.02
S 0.000 0.000 0.500  0.31
N 0.000 0.500 0.000  1.25
N 0.500 0.000 0.000  1.25

Calculated values
Raw formation energy = 1076 meV/atom
Distance to the lowest polymorph of the same formula = 0 meV/atom
DOS(E_F) = 0.73 states/eV per atom